# CrCoAu2

Crystalline CrCoAu2 at its relaxed geometry (GGA-PBEsol, the Alexandria database).

The structure in extended XYZ format:
```
4
Lattice="2.729 0.000 0.000 0.000 2.729 0.000 0.000 0.000 7.471" Properties=species:S:1:pos:R:3 pbc="T T T"
Cr 0.000 0.000 0.000
Co 1.364 1.364 6.161
Au 0.000 0.000 4.238
Au 1.364 1.364 1.987
```

## Properties
- ΔE to the lowest computed polymorph: 0 meV per atom
- Energy: -25.05 eV/f.u.
- Crystal system: tetragonal